# 1
The following is a DFT calculation (SCAN) of a PBEsol-optimized structure of CoMoPb2.

Values from the calculation:
Relative energy among the computed polymorphs ... 156 kJ/mol of formula units
VASP energy ... -50.032 eV per atom
Energy of formation from the pure elements ... 906 meV/atom
V ... 18.5 A^3/atom
SG ... No. 71

CIF file:
```
data_CoMoPb2
_cell_length_a 3.391
_cell_length_b 5.181
_cell_length_c 5.222
_cell_angle_alpha 119.74
_cell_angle_beta 108.95
_cell_angle_gamma 90.00
_symmetry_space_group_name_H-M 'P 1'
_symmetry_Int_Tables_number 1
loop_
_symmetry_equiv_pos_as_xyz
'x,y,z'
loop_
_atom_site_label
_atom_site_type_symbol
_atom_site_fract_x
_atom_site_fract_y
_atom_site_fract_z
Co1 Co 0.500 0.000 0.000
Mo1 Mo 0.000 0.500 0.000
Pb1 Pb 0.772 0.772 0.544
Pb2 Pb 0.228 0.228 0.456
```

=====

# 2
The following is a DFT calculation (SCAN) of a PBEsol-optimized structure of CoMoPb2.

Values from the calculation:
Relative energy among the computed polymorphs ... 97 kJ/mol of formula units
VASP energy ... -50.186 eV per atom
Energy of formation from the pure elements ... 752 meV/atom
V ... 18.5 A^3/atom
SG ... No. 119

CIF file:
```
data_CoMoPb2
_cell_length_a 3.946
_cell_length_b 3.946
_cell_length_c 5.511
_cell_angle_alpha 110.98
_cell_angle_beta 110.98
_cell_angle_gamma 90.00
_symmetry_space_group_name_H-M 'P 1'
_symmetry_Int_Tables_number 1
loop_
_symmetry_equiv_pos_as_xyz
'x,y,z'
loop_
_atom_site_label
_atom_site_type_symbol
_atom_site_fract_x
_atom_site_fract_y
_atom_site_fract_z
Co1 Co 0.500 0.500 0.000
Mo1 Mo 0.250 0.750 0.500
Pb1 Pb 0.000 0.000 0.000
Pb2 Pb 0.750 0.250 0.500
```

=====

# 3
The following is a DFT calculation (SCAN) of a PBEsol-optimized structure of CoMoPb2.

Values from the calculation:
Relative energy among the computed polymorphs ... 148 kJ/mol of formula units
VASP energy ... -50.053 eV per atom
Energy of formation from the pure elements ... 884 meV/atom
V ... 19.0 A^3/atom
SG ... No. 12

CIF file:
```
data_CoMoPb2
_cell_length_a 3.056
_cell_length_b 5.353
_cell_length_c 5.353
_cell_angle_alpha 108.35
_cell_angle_beta 103.80
_cell_angle_gamma 103.80
_symmetry_space_group_name_H-M 'P 1'
_symmetry_Int_Tables_number 1
loop_
_symmetry_equiv_pos_as_xyz
'x,y,z'
loop_
_atom_site_label
_atom_site_type_symbol
_atom_site_fract_x
_atom_site_fract_y
_atom_site_fract_z
Co1 Co 0.500 0.000 0.000
Mo1 Mo 0.500 0.500 0.500
Pb1 Pb 0.000 0.500 0.000
Pb2 Pb 0.000 0.000 0.500
```

=====

# 4
The following is a DFT calculation (SCAN) of a PBEsol-optimized structure of Co2MoPb.

Values from the calculation:
VASP energy ... -35.538 eV per atom
Energy of formation from the pure elements ... 781 meV/atom
V ... 14.3 A^3/atom
SG ... No. 216

CIF file:
```
data_Co2MoPb
_cell_length_a 4.330
_cell_length_b 4.330
_cell_length_c 4.330
_cell_angle_alpha 60.00
_cell_angle_beta 60.00
_cell_angle_gamma 60.00
_symmetry_space_group_name_H-M 'P 1'
_symmetry_Int_Tables_number 1
loop_
_symmetry_equiv_pos_as_xyz
'x,y,z'
loop_
_atom_site_label
_atom_site_type_symbol
_atom_site_fract_x
_atom_site_fract_y
_atom_site_fract_z
Pb1 Pb 0.750 0.750 0.750
Mo1 Mo 0.500 0.500 0.500
Co1 Co 0.000 0.000 0.000
Co2 Co 0.250 0.250 0.250
```

=====

# 5
The following is a DFT calculation (SCAN) of a PBEsol-optimized structure of CoMo2Pb.

Values from the calculation:
VASP energy ... -39.972 eV per atom
Energy of formation from the pure elements ... 742 meV/atom
V ... 15.9 A^3/atom
SG ... No. 12

CIF file:
```
data_CoMo2Pb
_cell_length_a 2.853
_cell_length_b 5.117
_cell_length_c 5.117
_cell_angle_alpha 119.29
_cell_angle_beta 96.03
_cell_angle_gamma 96.03
_symmetry_space_group_name_H-M 'P 1'
_symmetry_Int_Tables_number 1
loop_
_symmetry_equiv_pos_as_xyz
'x,y,z'
loop_
_atom_site_label
_atom_site_type_symbol
_atom_site_fract_x
_atom_site_fract_y
_atom_site_fract_z
Pb1 Pb 0.500 0.500 0.500
Mo1 Mo 0.000 0.000 0.500
Mo2 Mo 0.000 0.500 0.000
Co1 Co 0.500 0.000 0.000
```

=====

# 6
The following is a DFT calculation (SCAN) of a PBEsol-optimized structure of CoMo2Pb.

Values from the calculation:
VASP energy ... -40.164 eV per atom
Energy of formation from the pure elements ... 550 meV/atom
V ... 15.7 A^3/atom
SG ... No. 44

CIF file:
```
data_CoMo2Pb
_cell_length_a 3.410
_cell_length_b 4.449
_cell_length_c 4.992
_cell_angle_alpha 116.46
_cell_angle_beta 109.97
_cell_angle_gamma 90.00
_symmetry_space_group_name_H-M 'P 1'
_symmetry_Int_Tables_number 1
loop_
_symmetry_equiv_pos_as_xyz
'x,y,z'
loop_
_atom_site_label
_atom_site_type_symbol
_atom_site_fract_x
_atom_site_fract_y
_atom_site_fract_z
Pb1 Pb 0.487 0.487 0.975
Mo1 Mo 0.006 0.006 0.012
Mo2 Mo 0.262 0.762 0.524
Co1 Co 0.745 0.245 0.489
```

=====

# 7
The following is a DFT calculation (SCAN) of a PBEsol-optimized structure of CoMoPb2.

Values from the calculation:
Relative energy among the computed polymorphs ... 0 kJ/mol of formula units
VASP energy ... -50.436 eV per atom
Energy of formation from the pure elements ... 502 meV/atom
V ... 19.3 A^3/atom
SG ... No. 38

CIF file:
```
data_CoMoPb2
_cell_length_a 3.755
_cell_length_b 4.070
_cell_length_c 5.401
_cell_angle_alpha 90.00
_cell_angle_beta 110.34
_cell_angle_gamma 90.00
_symmetry_space_group_name_H-M 'P 1'
_symmetry_Int_Tables_number 1
loop_
_symmetry_equiv_pos_as_xyz
'x,y,z'
loop_
_atom_site_label
_atom_site_type_symbol
_atom_site_fract_x
_atom_site_fract_y
_atom_site_fract_z
Co1 Co 0.686 0.000 0.372
Mo1 Mo 0.563 0.500 0.126
Pb1 Pb 0.974 0.000 0.949
Pb2 Pb 0.277 0.500 0.554
```

=====

# 8
The following is a DFT calculation (SCAN) of a PBEsol-optimized structure of CoMoPb2.

Values from the calculation:
Relative energy among the computed polymorphs ... 113 kJ/mol of formula units
VASP energy ... -50.143 eV per atom
Energy of formation from the pure elements ... 795 meV/atom
V ... 17.8 A^3/atom
SG ... No. 123

CIF file:
```
data_CoMoPb2
_cell_length_a 3.346
_cell_length_b 4.618
_cell_length_c 4.618
_cell_angle_alpha 90.00
_cell_angle_beta 90.00
_cell_angle_gamma 90.00
_symmetry_space_group_name_H-M 'P 1'
_symmetry_Int_Tables_number 1
loop_
_symmetry_equiv_pos_as_xyz
'x,y,z'
loop_
_atom_site_label
_atom_site_type_symbol
_atom_site_fract_x
_atom_site_fract_y
_atom_site_fract_z
Co1 Co 0.500 0.500 0.500
Mo1 Mo 0.500 0.000 0.000
Pb1 Pb 0.000 0.000 0.500
Pb2 Pb 0.000 0.500 0.000
```